Entry 1:
This record from Alexandria describes a geometry-optimized SrAsPb2 structure. The functional is PBE.

Geometry as CIF:
```
data_SrAsPb2
_space_group_name_H-M_alt 'P 4/m m m'
_space_group_IT_number 123
_space_group_name_Hall '-P 4 2'
_cell_length_a 4.703
_cell_length_b 4.703
_cell_length_c 5.248
_cell_angle_alpha 90.00
_cell_angle_beta 90.00
_cell_angle_gamma 90.00
loop_
_atom_site_label
_atom_site_type_symbol
_atom_site_fract_x
_atom_site_fract_y
_atom_site_fract_z
Sr1 Sr 0.000 0.000 0.000
As1 As 0.500 0.500 0.000
Pb1 Pb 0.000 0.500 0.500
```

Calculated values
D(E_F) (states/eV per cell): 2.64
Density (kg/m3): 8255
Raw total energy (eV/atom): -3.801
Magnetic moment (μB/f.u.): 0.00



Entry 2:
This record from Alexandria describes a geometry-optimized SrAs2Pb structure. The functional is PBE.

Geometry as CIF:
```
data_SrAs2Pb
_space_group_name_H-M_alt 'C m m m'
_space_group_IT_number 65
_space_group_name_Hall '-C 2 2'
_cell_length_a 6.795
_cell_length_b 7.460
_cell_length_c 4.137
_cell_angle_alpha 90.00
_cell_angle_beta 90.00
_cell_angle_gamma 90.00
loop_
_atom_site_label
_atom_site_type_symbol
_atom_site_fract_x
_atom_site_fract_y
_atom_site_fract_z
Sr1 Sr 0.000 0.000 0.000
As1 As 0.250 0.250 0.500
Pb1 Pb 0.000 0.500 0.000
```

Calculated values
D(E_F) (states/eV per cell): 3.70
Density (kg/m3): 7041
Raw total energy (eV/atom): -4.074
Magnetic moment (μB/f.u.): 0.00



Entry 3:
This record from Alexandria describes a geometry-optimized SrAs2Pb2 structure. The functional is PBE.

Geometry as CIF:
```
data_SrAs2Pb2
_space_group_name_H-M_alt 'P 4/m b m'
_space_group_IT_number 127
_space_group_name_Hall '-P 4 2ab'
_cell_length_a 7.925
_cell_length_b 7.925
_cell_length_c 4.511
_cell_angle_alpha 90.00
_cell_angle_beta 90.00
_cell_angle_gamma 90.00
loop_
_atom_site_label
_atom_site_type_symbol
_atom_site_fract_x
_atom_site_fract_y
_atom_site_fract_z
Sr1 Sr 0.000 0.000 0.000
As1 As 0.117 0.383 0.000
Pb1 Pb 0.181 0.681 0.500
```

Calculated values
D(E_F) (states/eV per cell): 7.66
Density (kg/m3): 7640
Raw total energy (eV/atom): -3.947
Magnetic moment (μB/f.u.): 0.00



Entry 4:
This record from Alexandria describes a geometry-optimized Sr2AsPb2 structure. The functional is PBE.

Geometry as CIF:
```
data_Sr2AsPb2
_space_group_name_H-M_alt 'P 4/m b m'
_space_group_IT_number 127
_space_group_name_Hall '-P 4 2ab'
_cell_length_a 8.132
_cell_length_b 8.132
_cell_length_c 4.971
_cell_angle_alpha 90.00
_cell_angle_beta 90.00
_cell_angle_gamma 90.00
loop_
_atom_site_label
_atom_site_type_symbol
_atom_site_fract_x
_atom_site_fract_y
_atom_site_fract_z
Sr1 Sr 0.173 0.327 0.000
As1 As 0.000 0.000 0.500
Pb1 Pb 0.135 0.635 0.500
```

Calculated values
D(E_F) (states/eV per cell): 4.71
Density (kg/m3): 6713
Raw total energy (eV/atom): -3.531
Magnetic moment (μB/f.u.): 0.00



Entry 5:
This record from Alexandria describes a geometry-optimized SrAsPb2 structure. The functional is PBE.

Geometry as CIF:
```
data_SrAsPb2
_space_group_name_H-M_alt 'I -4 m 2'
_space_group_IT_number 119
_space_group_name_Hall 'I -4 -2'
_cell_length_a 4.933
_cell_length_b 4.933
_cell_length_c 9.551
_cell_angle_alpha 90.00
_cell_angle_beta 90.00
_cell_angle_gamma 90.00
loop_
_atom_site_label
_atom_site_type_symbol
_atom_site_fract_x
_atom_site_fract_y
_atom_site_fract_z
Sr1 Sr 0.000 0.000 0.000
As1 As 0.000 0.500 0.750
Pb1 Pb 0.000 0.000 0.500
Pb2 Pb 0.000 0.500 0.250
```

Calculated values
D(E_F) (states/eV per cell): 4.53
Density (kg/m3): 8244
Raw total energy (eV/atom): -3.753
Magnetic moment (μB/f.u.): 0.00



Entry 6:
This record from Alexandria describes a geometry-optimized SrAsPb2 structure. The functional is PBE.

Geometry as CIF:
```
data_SrAsPb2
_space_group_name_H-M_alt 'I m m m'
_space_group_IT_number 71
_space_group_name_Hall '-I 2 2'
_cell_length_a 4.012
_cell_length_b 5.032
_cell_length_c 12.005
_cell_angle_alpha 90.00
_cell_angle_beta 90.00
_cell_angle_gamma 90.00
loop_
_atom_site_label
_atom_site_type_symbol
_atom_site_fract_x
_atom_site_fract_y
_atom_site_fract_z
Sr1 Sr 0.000 0.000 0.000
As1 As 0.000 0.000 0.500
Pb1 Pb 0.000 0.500 0.206
```

Calculated values
D(E_F) (states/eV per cell): 2.99
Density (kg/m3): 7905
Raw total energy (eV/atom): -3.850
Magnetic moment (μB/f.u.): 0.00



Which of these has the highest raw total energy? Sr2AsPb2